Run 1
TbPrY2 | PBE | optimized geometry

Computed properties:
* volume: 134.1 Å³/f.u.
* DOS at the Fermi energy: 1.973 states/eV per atom

The structure in POSCAR format:
```
TbPrY2
1.0
-5.510 -1.370 -0.874
-3.394 -1.242 4.466
-4.150 3.654 1.557
Pr Y Tb
1 2 1
Direct
0.500 0.500 0.500 Pr
0.250 0.250 0.250 Y
0.750 0.750 0.750 Y
0.000 0.000 0.000 Tb
```


Run 2
TbPrY2 | PBE | optimized geometry

Computed properties:
* volume: 134.2 Å³/f.u.
* DOS at the Fermi energy: 1.847 states/eV per atom

The structure in POSCAR format:
```
TbPrY2
1.0
-3.611 -0.501 -0.502
-2.565 -1.232 6.205
-3.066 4.658 3.937
Tb Pr Y
1 1 2
Direct
0.250 0.165 0.335 Tb
0.750 0.669 0.831 Pr
0.998 0.085 0.919 Y
0.502 0.581 0.415 Y
```


Run 3
TbPrY2 | PBE | optimized geometry

Computed properties:
* volume: 133.4 Å³/f.u.
* DOS at the Fermi energy: 1.879 states/eV per atom

The structure in POSCAR format:
```
TbPrY2
1.0
3.457 0.086 0.940
0.124 5.537 -0.973
-0.119 -4.351 7.731
Tb Pr Y
1 1 2
Direct
0.935 0.261 0.127 Tb
0.064 0.508 0.874 Pr
0.322 0.989 0.355 Y
0.679 0.778 0.645 Y
```


Which one sits at the top of the stability order? run 2 does.


Run 1
TbPrY2 | PBE | optimized geometry

Computed properties:
* volume: 132.5 Å³/f.u.
* DOS at the Fermi energy: 1.553 states/eV per atom

The structure in POSCAR format:
```
TbPrY2
1.0
5.089 0.000 0.000
0.000 5.103 0.000
0.000 0.000 5.103
Pr Y Tb
1 2 1
Direct
0.500 0.000 0.000 Pr
0.000 0.000 0.500 Y
0.000 0.500 0.000 Y
0.500 0.500 0.500 Tb
```


Run 2
TbPrY2 | PBE | optimized geometry

Computed properties:
* volume: 132.1 Å³/f.u.
* DOS at the Fermi energy: 1.368 states/eV per atom

The structure in POSCAR format:
```
TbPrY2
1.0
-3.157 -0.388 1.703
-0.840 -3.149 1.548
3.615 2.412 11.075
Pr Y Tb
1 2 1
Direct
0.000 0.000 0.000 Pr
0.751 0.751 0.746 Y
0.249 0.249 0.254 Y
0.500 0.500 0.500 Tb
```


Which one sits at the top of the stability order? run 2 does.


Run 1
Tb5Pr4Y2 | PBE | optimized geometry

Computed properties:
* volume: 374.7 Å³/f.u.
* DOS at the Fermi energy: 1.475 states/eV per atom

The structure in POSCAR format:
```
Tb5Pr4Y2
1.0
-6.414 2.551 -2.924
-2.715 -2.346 -5.699
-7.486 -6.865 0.824
Tb Pr Y
5 4 2
Direct
0.206 0.371 0.776 Tb
0.794 0.629 0.224 Tb
0.000 0.500 0.500 Tb
0.648 0.371 0.776 Tb
0.352 0.629 0.224 Tb
0.310 0.884 0.497 Pr
0.690 0.116 0.503 Pr
0.669 0.780 0.882 Pr
0.331 0.220 0.118 Pr
0.140 0.845 0.875 Y
0.860 0.155 0.125 Y
```


Run 2
Tb5Pr4Y2 | PBE | optimized geometry

Computed properties:
* volume: 371.1 Å³/f.u.
* DOS at the Fermi energy: 1.412 states/eV per atom

The structure in POSCAR format:
```
Tb5Pr4Y2
1.0
-3.112 4.152 2.415
-4.828 -4.421 1.378
5.843 -3.817 7.311
Tb Pr Y
5 4 2
Direct
0.791 0.597 0.583 Tb
0.209 0.403 0.417 Tb
0.870 0.107 0.739 Tb
0.500 0.000 0.000 Tb
0.130 0.893 0.261 Tb
0.306 0.930 0.612 Pr
0.981 0.713 0.962 Pr
0.694 0.070 0.388 Pr
0.019 0.287 0.038 Pr
0.403 0.447 0.805 Y
0.597 0.553 0.195 Y
```


Which one sits at the top of the stability order? run 2 does.


Run 1
Tb2Pr12Y5 | PBE | optimized geometry

Computed properties:
* volume: 675.8 Å³/f.u.
* DOS at the Fermi energy: 1.449 states/eV per atom

The structure in POSCAR format:
```
Tb2Pr12Y5
1.0
6.849 0.000 -2.202
-0.913 8.340 -2.841
0.038 -0.141 11.872
Tb Pr Y
2 12 5
Direct
0.743 0.000 0.000 Tb
0.257 0.000 0.000 Tb
0.858 0.942 0.716 Pr
0.453 0.793 0.400 Pr
0.947 0.793 0.400 Pr
0.362 0.385 0.212 Pr
0.850 0.385 0.212 Pr
0.548 0.695 0.096 Pr
0.452 0.305 0.904 Pr
0.638 0.615 0.788 Pr
0.150 0.615 0.788 Pr
0.547 0.207 0.600 Pr
0.053 0.207 0.600 Pr
0.142 0.058 0.284 Pr
0.751 0.509 0.502 Y
0.650 0.098 0.300 Y
0.000 0.500 0.000 Y
0.350 0.902 0.700 Y
0.249 0.491 0.498 Y
```


Run 2
Tb2Pr12Y5 | PBE | optimized geometry

Computed properties:
* volume: 666.9 Å³/f.u.
* DOS at the Fermi energy: 1.595 states/eV per atom

The structure in POSCAR format:
```
Tb2Pr12Y5
1.0
-2.175 7.297 0.179
-6.402 -6.046 6.626
1.309 0.144 10.028
Tb Pr Y
2 12 5
Direct
0.700 0.000 0.000 Tb
0.300 0.000 0.000 Tb
0.002 0.005 0.203 Pr
0.074 0.670 0.833 Pr
0.597 0.670 0.833 Pr
0.088 0.678 0.475 Pr
0.590 0.678 0.475 Pr
0.491 0.982 0.686 Pr
0.509 0.018 0.314 Pr
0.912 0.322 0.525 Pr
0.410 0.322 0.525 Pr
0.926 0.330 0.167 Pr
0.403 0.330 0.167 Pr
0.998 0.995 0.797 Pr
0.175 0.350 0.822 Y
0.321 0.641 0.165 Y
0.000 0.000 0.500 Y
0.679 0.359 0.835 Y
0.825 0.650 0.178 Y
```


Which one sits at the top of the stability order? run 1 does.


Run 1
TbPr4Y3 | PBE | optimized geometry

Computed properties:
* volume: 276.1 Å³/f.u.
* DOS at the Fermi energy: 1.866 states/eV per atom

The structure in POSCAR format:
```
TbPr4Y3
1.0
6.374 0.000 0.000
0.000 7.388 0.000
0.000 0.000 11.725
Tb Pr Y
2 8 6
Direct
0.147 0.377 0.000 Tb
0.647 0.623 0.500 Tb
0.148 0.872 0.000 Pr
0.649 0.127 0.000 Pr
0.981 0.127 0.250 Pr
0.481 0.873 0.250 Pr
0.149 0.873 0.500 Pr
0.648 0.128 0.500 Pr
0.481 0.873 0.750 Pr
0.981 0.127 0.750 Pr
0.647 0.621 0.000 Y
0.981 0.621 0.250 Y
0.481 0.379 0.250 Y
0.147 0.379 0.500 Y
0.481 0.379 0.750 Y
0.981 0.621 0.750 Y
```


Run 2
TbPr4Y3 | PBE | optimized geometry

Computed properties:
* volume: 277.7 Å³/f.u.
* DOS at the Fermi energy: 1.786 states/eV per atom

The structure in POSCAR format:
```
TbPr4Y3
1.0
3.480 0.000 -0.439
-0.175 6.758 -1.384
-0.248 -0.971 12.042
Pr Y Tb
4 3 1
Direct
0.741 0.236 0.481 Pr
0.259 0.764 0.519 Pr
0.123 0.369 0.247 Pr
0.877 0.631 0.753 Pr
0.000 0.500 0.000 Y
0.122 0.881 0.245 Y
0.878 0.119 0.755 Y
0.500 0.000 0.000 Tb
```


Which one sits at the top of the stability order? run 1 does.


Run 1
TbPr2Y5 | PBE | optimized geometry

Computed properties:
* volume: 267.0 Å³/f.u.
* DOS at the Fermi energy: 1.586 states/eV per atom

The structure in POSCAR format:
```
TbPr2Y5
1.0
-7.894 6.084 0.592
-2.659 -2.930 -5.343
2.330 -6.017 8.710
Tb Pr Y
2 4 10
Direct
0.000 0.000 0.500 Tb
0.500 0.500 0.500 Tb
0.173 0.461 0.838 Pr
0.664 0.961 0.838 Pr
0.827 0.539 0.162 Pr
0.336 0.039 0.162 Pr
0.489 0.449 0.800 Y
0.938 0.750 0.000 Y
0.062 0.250 0.000 Y
0.888 0.630 0.601 Y
0.112 0.370 0.399 Y
0.713 0.130 0.601 Y
0.287 0.870 0.399 Y
0.511 0.551 0.200 Y
0.312 0.949 0.800 Y
0.688 0.051 0.200 Y
```


Run 2
TbPr2Y5 | PBE | optimized geometry

Computed properties:
* volume: 265.0 Å³/f.u.
* DOS at the Fermi energy: 1.515 states/eV per atom

The structure in POSCAR format:
```
TbPr2Y5
1.0
-2.136 -1.199 4.470
6.020 -3.456 1.950
5.145 12.195 5.730
Tb Pr Y
2 4 10
Direct
0.000 0.000 0.500 Tb
0.000 0.500 0.000 Tb
0.500 0.250 0.625 Pr
0.500 0.750 0.375 Pr
0.500 0.250 0.125 Pr
0.500 0.750 0.875 Pr
0.000 0.000 0.000 Y
0.000 0.500 0.500 Y
0.000 0.500 0.750 Y
0.000 0.500 0.250 Y
0.000 0.000 0.250 Y
0.000 0.000 0.750 Y
0.500 0.251 0.875 Y
0.500 0.749 0.125 Y
0.500 0.249 0.375 Y
0.500 0.751 0.625 Y
```


Which one sits at the top of the stability order? run 2 does.